An optimized crystal structure of VCuP2O8. Source: Alexandria, functional PBE+U.

Summary:
N(E_F) = 0.08 states/eV/atom
Final energy = -168.33 eV/cell
Energy above the most stable polymorph in this dataset = 0.000 eV/atom
Density = 3.464 Mg/m³
Symmetry = No. 11

a b c (Å): 4.910 5.957 10.008
angles (deg): 90.00 94.39 90.00
Fractional positions:
1 V 0.060 0.250 0.289
2 V 0.940 0.750 0.711
3 Cu 0.364 0.250 0.799
4 Cu 0.636 0.750 0.201
5 P 0.090 0.750 0.409
6 P 0.405 0.750 0.895
7 P 0.595 0.250 0.105
8 P 0.910 0.250 0.591
9 O 0.172 0.750 0.561
10 O 0.216 0.536 0.344
11 O 0.216 0.964 0.344
12 O 0.221 0.250 0.618
13 O 0.228 0.557 0.824
14 O 0.228 0.943 0.824
15 O 0.298 0.250 0.141
16 O 0.385 0.750 0.046
17 O 0.615 0.250 0.954
18 O 0.702 0.750 0.859
19 O 0.772 0.057 0.176
20 O 0.772 0.443 0.176
21 O 0.779 0.750 0.382
22 O 0.784 0.036 0.656
23 O 0.784 0.464 0.656
24 O 0.828 0.250 0.439